DFT (PBE) results for a relaxed structure of LiLuIn.

Values from the calculation:
Total energy in Ha/atom: -0.1006

The structure in CIF format:
```
data_LiLuIn
_cell_length_a 7.007
_cell_length_b 7.007
_cell_length_c 7.007
_cell_angle_alpha 90.00
_cell_angle_beta 90.00
_cell_angle_gamma 90.00
_space_group_name_H-M_alt 'F -4 3 m'
_space_group_IT_number 216
_space_group_name_Hall 'F -4 2 3'
loop_
_atom_site_label
_atom_site_type_symbol
_atom_site_fract_x
_atom_site_fract_y
_atom_site_fract_z
Li1 Li 0.000 0.000 0.000
Lu1 Lu 0.250 0.250 0.750
In1 In 0.000 0.000 0.500
```


DFT (PBE) results for a relaxed structure of LiLuInNi.

Values from the calculation:
Total energy in Ha/atom: -0.1495
Energy above the most stable polymorph in this dataset in meV per atom: 0

The structure in CIF format:
```
data_LiLuInNi
_cell_length_a 6.522
_cell_length_b 6.522
_cell_length_c 6.522
_cell_angle_alpha 90.00
_cell_angle_beta 90.00
_cell_angle_gamma 90.00
_space_group_name_H-M_alt 'F -4 3 m'
_space_group_IT_number 216
_space_group_name_Hall 'F -4 2 3'
loop_
_atom_site_label
_atom_site_type_symbol
_atom_site_fract_x
_atom_site_fract_y
_atom_site_fract_z
Li1 Li 0.000 0.000 0.000
Lu1 Lu 0.250 0.250 0.750
In1 In 0.250 0.250 0.250
Ni1 Ni 0.000 0.000 0.500
```


DFT (PBE) results for a relaxed structure of LiLuInNi.

Values from the calculation:
Total energy in Ha/atom: -0.1398
Energy above the most stable polymorph in this dataset in meV per atom: 263

The structure in CIF format:
```
data_LiLuInNi
_cell_length_a 6.629
_cell_length_b 6.629
_cell_length_c 6.629
_cell_angle_alpha 90.00
_cell_angle_beta 90.00
_cell_angle_gamma 90.00
_space_group_name_H-M_alt 'F -4 3 m'
_space_group_IT_number 216
_space_group_name_Hall 'F -4 2 3'
loop_
_atom_site_label
_atom_site_type_symbol
_atom_site_fract_x
_atom_site_fract_y
_atom_site_fract_z
Li1 Li 0.000 0.000 0.000
Lu1 Lu 0.250 0.250 0.250
In1 In 0.000 0.000 0.500
Ni1 Ni 0.250 0.250 0.750
```